Entry 1:
# PBE MnTl2Si, optimized geometry
# Spin magnetization in μB/f.u.: 4.0
# DFT total energy in eV per atom: -4.239
# Formation energy (no corrections) in eV per atom: 0.592
# Energy above the lowest structure with this stoichiometry in eV per formula unit: 1.53
# Mass density in g cm⁻³: 9.3
data_MnTl2Si
_cell_length_a 4.532
_cell_length_b 4.532
_cell_length_c 4.264
_cell_angle_alpha 90.00
_cell_angle_beta 90.00
_cell_angle_gamma 90.00
_symmetry_space_group_name_H-M 'P 4/m m m'
_symmetry_Int_Tables_number 123
_symmetry_space_group_name_Hall '-P 4 2'
loop_
_atom_site_label
_atom_site_fract_x
_atom_site_fract_y
_atom_site_fract_z
Mn1 0.000 0.000 0.000
Tl1 0.000 0.500 0.500
Si1 0.500 0.500 0.000

=====

Entry 2:
# PBE MnTl2Si, optimized geometry
# Spin magnetization in μB/f.u.: 2.9
# DFT total energy in eV per atom: -4.608
# Formation energy (no corrections) in eV per atom: 0.224
# Energy above the lowest structure with this stoichiometry in eV per formula unit: 0.05
# Mass density in g cm⁻³: 9.0
data_MnTl2Si
_cell_length_a 3.287
_cell_length_b 3.287
_cell_length_c 8.412
_cell_angle_alpha 90.00
_cell_angle_beta 90.00
_cell_angle_gamma 90.00
_symmetry_space_group_name_H-M 'P 4 m m'
_symmetry_Int_Tables_number 99
loop_
_symmetry_equiv_pos_as_xyz
'x,y,z'
'-y,x,z'
'-x,-y,z'
'y,-x,z'
'-x,y,z'
'y,x,z'
'x,-y,z'
'-y,-x,z'
loop_
_atom_site_label
_atom_site_fract_x
_atom_site_fract_y
_atom_site_fract_z
Mn1 0.000 0.000 0.000
Tl1 0.000 0.000 0.374
Tl2 0.500 0.500 0.721
Si1 0.500 0.500 0.079

=====

Entry 3:
# PBE MnTl3Si, optimized geometry
# Spin magnetization in μB/f.u.: 4.4
# DFT total energy in eV per atom: -3.518
# Formation energy (no corrections) in eV per atom: 0.820
# Energy above the lowest structure with this stoichiometry in eV per formula unit: 0.25
# Mass density in g cm⁻³: 7.6
data_MnTl3Si
_cell_length_a 5.341
_cell_length_b 5.341
_cell_length_c 5.341
_cell_angle_alpha 90.00
_cell_angle_beta 90.00
_cell_angle_gamma 90.00
_symmetry_space_group_name_H-M 'P m -3 m'
_symmetry_Int_Tables_number 221
_symmetry_space_group_name_Hall '-P 4 2 3'
loop_
_atom_site_label
_atom_site_fract_x
_atom_site_fract_y
_atom_site_fract_z
Mn1 0.000 0.000 0.000
Tl1 0.000 0.500 0.500
Si1 0.500 0.500 0.500

=====

Entry 4:
# PBE MnTl2Si, optimized geometry
# Spin magnetization in μB/f.u.: 0.3
# DFT total energy in eV per atom: -3.725
# Formation energy (no corrections) in eV per atom: 1.106
# Energy above the lowest structure with this stoichiometry in eV per formula unit: 3.58
# Mass density in g cm⁻³: 10.0
data_MnTl2Si
_cell_length_a 6.892
_cell_length_b 6.892
_cell_length_c 6.892
_cell_angle_alpha 90.00
_cell_angle_beta 90.00
_cell_angle_gamma 90.00
_symmetry_space_group_name_H-M 'F m -3 m'
_symmetry_Int_Tables_number 225
_symmetry_space_group_name_Hall '-F 4 2 3'
loop_
_atom_site_label
_atom_site_fract_x
_atom_site_fract_y
_atom_site_fract_z
Mn1 0.000 0.000 0.000
Tl1 0.250 0.250 0.250
Si1 0.000 0.000 0.500